Run i
Computed, not measured: a relaxed KAlBr crystal at the PBE level of DFT. Values from VASP.

Values from the calculation:
Space-group type = I4mm

Quantum ESPRESSO input file:
```
&SYSTEM
  ibrav = 0, nat = 3, ntyp = 3
/
ATOMIC_SPECIES
K 39.10 K.upf
Al 26.98 Al.upf
Br 79.90 Br.upf
CELL_PARAMETERS angstrom
7.3000 -0.0020 0.0000
5.3659 4.9495 0.0000
-6.3329 -2.4738 2.6579
ATOMIC_POSITIONS angstrom
K 8.7138 3.4038 0.0000
Al 12.5540 4.9038 0.0000
Br 4.0640 1.5875 0.0000
```

---

Run ii
Computed, not measured: a relaxed KAlBr crystal at the PBE level of DFT. Values from VASP.

Values from the calculation:
Space-group type = Imm2

Quantum ESPRESSO input file:
```
&SYSTEM
  ibrav = 0, nat = 3, ntyp = 3
/
ATOMIC_SPECIES
K 39.10 K.upf
Al 26.98 Al.upf
Br 79.90 Br.upf
CELL_PARAMETERS angstrom
-6.4997 -1.1728 1.7788
-4.6496 -2.9743 -4.0399
6.5786 -0.9035 1.6408
ATOMIC_POSITIONS angstrom
K -8.0315 -2.9874 -1.6287
Al -0.3327 -0.1238 -0.0675
Br -2.7852 -1.0360 -0.5648
```

---

Run iii
Computed, not measured: a relaxed KAlBr crystal at the PBE level of DFT. Values from VASP.

Values from the calculation:
Space-group type = F-43m

Quantum ESPRESSO input file:
```
&SYSTEM
  ibrav = 0, nat = 3, ntyp = 3
/
ATOMIC_SPECIES
K 39.10 K.upf
Al 26.98 Al.upf
Br 79.90 Br.upf
CELL_PARAMETERS angstrom
5.4577 0.0000 0.0000
2.7289 4.7265 0.0000
2.7289 1.5755 4.4562
ATOMIC_POSITIONS angstrom
K 0.0000 0.0000 0.0000
Al 5.4577 3.1510 2.2281
Br 8.1866 4.7265 3.3422
```

---

The most stable of them is run ii.

---

Run i
Computed, not measured: a relaxed KAl3Br crystal at the PBE level of DFT. Values from VASP.

Values from the calculation:
Space-group type = Pm-3m

Quantum ESPRESSO input file:
```
&SYSTEM
  ibrav = 0, nat = 5, ntyp = 3
/
ATOMIC_SPECIES
K 39.10 K.upf
Al 26.98 Al.upf
Br 79.90 Br.upf
CELL_PARAMETERS angstrom
5.6515 0.0000 0.0000
0.0000 5.6515 0.0000
0.0000 0.0000 5.6515
ATOMIC_POSITIONS angstrom
K 2.8257 2.8257 2.8257
Al 0.0000 2.8257 0.0000
Al 0.0000 0.0000 2.8257
Al 2.8257 0.0000 0.0000
Br 0.0000 0.0000 0.0000
```

---

Run ii
Computed, not measured: a relaxed KAl3Br crystal at the PBE level of DFT. Values from VASP.

Values from the calculation:
Space-group type = Pm-3m

Quantum ESPRESSO input file:
```
&SYSTEM
  ibrav = 0, nat = 5, ntyp = 3
/
ATOMIC_SPECIES
K 39.10 K.upf
Al 26.98 Al.upf
Br 79.90 Br.upf
CELL_PARAMETERS angstrom
-2.4535 4.6417 -3.2426
2.9016 -2.0039 -5.0640
-4.8622 -3.5381 -1.3859
ATOMIC_POSITIONS angstrom
K 0.0000 0.0000 0.0000
Al 1.4508 -1.0020 -2.5320
Al -2.4311 -1.7691 -0.6929
Al -1.2267 2.3209 -1.6213
Br -2.2070 -0.4502 -4.8463
```

---

The most stable of them is run i.

---

Run i
Computed, not measured: a relaxed KRb2AlBr6 crystal at the PBE level of DFT. Values from VASP.

Values from the calculation:
Space-group type = P-3m1

Quantum ESPRESSO input file:
```
&SYSTEM
  ibrav = 0, nat = 10, ntyp = 4
/
ATOMIC_SPECIES
K 39.10 K.upf
Rb 85.47 Rb.upf
Al 26.98 Al.upf
Br 79.90 Br.upf
CELL_PARAMETERS angstrom
8.0357 0.0000 0.0000
0.0000 7.6596 0.0000
0.0000 -3.8298 6.6334
ATOMIC_POSITIONS angstrom
K 4.0178 0.0000 0.0000
Rb 1.1072 0.0000 4.4223
Rb 6.9285 3.8298 2.2111
Al 0.0000 0.0000 0.0000
Br 6.5547 0.0000 2.0758
Br 6.5547 -2.0321 5.5955
Br 6.5547 2.0321 5.5955
Br 1.4810 5.8619 1.0379
Br 1.4810 1.7977 1.0379
Br 1.4810 3.8298 4.5576
```

---

Run ii
Computed, not measured: a relaxed KRb2AlBr6 crystal at the PBE level of DFT. Values from VASP.

Values from the calculation:
Space-group type = Fm-3m

Quantum ESPRESSO input file:
```
&SYSTEM
  ibrav = 0, nat = 10, ntyp = 4
/
ATOMIC_SPECIES
K 39.10 K.upf
Rb 85.47 Rb.upf
Al 26.98 Al.upf
Br 79.90 Br.upf
CELL_PARAMETERS angstrom
8.0036 0.0000 0.0000
4.0018 6.9313 0.0000
4.0018 2.3104 6.5349
ATOMIC_POSITIONS angstrom
K 8.0036 4.6209 3.2675
Rb 12.0054 6.9313 4.9012
Rb 4.0018 2.3104 1.6337
Al 0.0000 0.0000 0.0000
Br 8.0036 2.0615 1.4577
Br 5.7871 3.3412 5.0772
Br 8.0036 7.1803 5.0772
Br 5.7871 5.9006 1.4577
Br 10.2201 3.3412 5.0772
Br 10.2201 5.9006 1.4577
```

---

The most stable of them is run i.

---

Run i
Computed, not measured: a relaxed KAlSeBr2 crystal at the PBE level of DFT. Values from VASP.

Values from the calculation:
Space-group type = P4/mmm

Quantum ESPRESSO input file:
```
&SYSTEM
  ibrav = 0, nat = 5, ntyp = 4
/
ATOMIC_SPECIES
K 39.10 K.upf
Se 78.96 Se.upf
Br 79.90 Br.upf
Al 26.98 Al.upf
CELL_PARAMETERS angstrom
-1.3082 5.5240 -2.2615
-5.8021 -0.6332 1.8097
1.3680 2.4740 5.2517
ATOMIC_POSITIONS angstrom
K 0.0000 0.0000 0.0000
Se 0.6840 1.2370 2.6258
Br -2.9011 -0.3166 0.9049
Br -0.6541 2.7620 -1.1308
Al -2.8711 3.6824 2.4000
```

---

Run ii
Computed, not measured: a relaxed KAlSeBr2 crystal at the PBE level of DFT. Values from VASP.

Values from the calculation:
Space-group type = P4/mmm

Quantum ESPRESSO input file:
```
&SYSTEM
  ibrav = 0, nat = 5, ntyp = 4
/
ATOMIC_SPECIES
K 39.10 K.upf
Se 78.96 Se.upf
Br 79.90 Br.upf
Al 26.98 Al.upf
CELL_PARAMETERS angstrom
5.3875 0.0000 0.0000
0.0000 5.3875 0.0000
0.0000 0.0000 4.8414
ATOMIC_POSITIONS angstrom
K 2.6938 2.6938 2.4207
Se 0.0000 0.0000 2.4207
Br 0.0000 2.6938 0.0000
Br 2.6938 0.0000 0.0000
Al 0.0000 0.0000 0.0000
```

---

The most stable of them is run ii.

---

Run i
Computed, not measured: a relaxed KAlSe2Br crystal at the PBE level of DFT. Values from VASP.

Values from the calculation:
Space-group type = P4/mmm

Quantum ESPRESSO input file:
```
&SYSTEM
  ibrav = 0, nat = 5, ntyp = 4
/
ATOMIC_SPECIES
K 39.10 K.upf
Se 78.96 Se.upf
Br 79.90 Br.upf
Al 26.98 Al.upf
CELL_PARAMETERS angstrom
-0.7512 0.5892 -4.8024
1.5167 -4.5863 -0.8000
-5.3495 -1.8750 0.6067
ATOMIC_POSITIONS angstrom
K -2.2920 -2.9360 -2.4978
Se 0.7584 -2.2931 -0.4000
Se -0.3756 0.2946 -2.4012
Br -2.6748 -0.9375 0.3034
Al 0.0000 0.0000 0.0000
```

---

Run ii
Computed, not measured: a relaxed KAlSe2Br crystal at the PBE level of DFT. Values from VASP.

Values from the calculation:
Space-group type = P4/mmm

Quantum ESPRESSO input file:
```
&SYSTEM
  ibrav = 0, nat = 5, ntyp = 4
/
ATOMIC_SPECIES
K 39.10 K.upf
Se 78.96 Se.upf
Br 79.90 Br.upf
Al 26.98 Al.upf
CELL_PARAMETERS angstrom
-4.6826 -0.9966 -3.6461
3.6333 -2.7249 -3.9213
-1.0045 -5.2680 2.7300
ATOMIC_POSITIONS angstrom
K 0.0000 0.0000 0.0000
Se -0.5023 -2.6340 1.3650
Se -2.3413 -0.4983 -1.8231
Br 1.8166 -1.3625 -1.9607
Al -1.0269 -4.4948 -2.4187
```

---

The most stable of them is run i.

---

Run i
Computed, not measured: a relaxed LaAl3Br crystal at the PBE level of DFT. Values from VASP.

Values from the calculation:
Space-group type = Pm-3m

Quantum ESPRESSO input file:
```
&SYSTEM
  ibrav = 0, nat = 5, ntyp = 3
/
ATOMIC_SPECIES
Al 26.98 Al.upf
Br 79.90 Br.upf
La 138.91 La.upf
CELL_PARAMETERS angstrom
-3.1238 2.5122 -3.2734
0.3961 -3.9040 -3.3743
-4.1072 -2.2872 2.1641
ATOMIC_POSITIONS angstrom
Al 0.1981 -1.9520 -1.6871
Al -2.0536 -1.1436 1.0821
Al -1.5619 1.2561 -1.6367
Br 0.0000 0.0000 0.0000
La -3.4174 -1.8395 -2.2418
```

---

Run ii
Computed, not measured: a relaxed LaAl3Br crystal at the PBE level of DFT. Values from VASP.

Values from the calculation:
Space-group type = Pm-3m

Quantum ESPRESSO input file:
```
&SYSTEM
  ibrav = 0, nat = 5, ntyp = 3
/
ATOMIC_SPECIES
Al 26.98 Al.upf
Br 79.90 Br.upf
La 138.91 La.upf
CELL_PARAMETERS angstrom
-4.0593 4.3313 1.1108
-4.3289 -3.4309 -2.4416
-1.1200 -2.4374 5.4108
ATOMIC_POSITIONS angstrom
Al -2.1644 -1.7155 -1.2208
Al -0.5600 -1.2187 2.7054
Al -2.0297 2.1656 0.5554
Br -4.7541 -0.7685 2.0400
La 0.0000 0.0000 0.0000
```

---

The most stable of them is run i.

---

Run i
Computed, not measured: a relaxed LaAlPBr2 crystal at the PBE level of DFT. Values from VASP.

Values from the calculation:
Space-group type = P4/mmm

Quantum ESPRESSO input file:
```
&SYSTEM
  ibrav = 0, nat = 5, ntyp = 4
/
ATOMIC_SPECIES
P 30.97 P.upf
Al 26.98 Al.upf
Br 79.90 Br.upf
La 138.91 La.upf
CELL_PARAMETERS angstrom
-2.2023 4.0843 -2.0634
-0.8404 -2.5148 -4.0809
-4.4911 -1.4904 1.8434
ATOMIC_POSITIONS angstrom
P -0.4202 -1.2574 -2.0405
Al 0.0000 0.0000 0.0000
Br -2.2456 -0.7452 0.9217
Br -1.1012 2.0422 -1.0317
La -3.7669 0.0395 -2.1505
```

---

Run ii
Computed, not measured: a relaxed LaAlPBr2 crystal at the PBE level of DFT. Values from VASP.

Values from the calculation:
Space-group type = P4/mmm

Quantum ESPRESSO input file:
```
&SYSTEM
  ibrav = 0, nat = 5, ntyp = 4
/
ATOMIC_SPECIES
P 30.97 P.upf
Al 26.98 Al.upf
Br 79.90 Br.upf
La 138.91 La.upf
CELL_PARAMETERS angstrom
4.8355 0.0000 0.0000
0.0000 6.6564 0.0000
0.0000 0.0000 4.8355
ATOMIC_POSITIONS angstrom
P 2.4178 3.3282 2.4178
Al 0.0000 0.0000 0.0000
Br 0.0000 0.0000 2.4178
Br 2.4178 0.0000 0.0000
La 0.0000 3.3282 0.0000
```

---

The most stable of them is run i.

---

Run i
Computed, not measured: a relaxed LiAl2Br crystal at the PBE level of DFT. Values from VASP.

Values from the calculation:
Space-group type = Immm

Quantum ESPRESSO input file:
```
&SYSTEM
  ibrav = 0, nat = 4, ntyp = 3
/
ATOMIC_SPECIES
Al 26.98 Al.upf
Br 79.90 Br.upf
Li 6.94 Li.upf
CELL_PARAMETERS angstrom
8.9116 0.6449 -0.1895
7.1421 5.3688 0.1895
-7.9354 -3.2508 2.5159
ATOMIC_POSITIONS angstrom
Al 15.5864 5.8387 0.0000
Al 8.4940 3.1819 0.0000
Br 4.5015 0.2005 1.1632
Li 3.6167 2.5624 1.3527
```

---

Run ii
Computed, not measured: a relaxed LiAl2Br crystal at the PBE level of DFT. Values from VASP.

Values from the calculation:
Space-group type = Cm

Quantum ESPRESSO input file:
```
&SYSTEM
  ibrav = 0, nat = 4, ntyp = 3
/
ATOMIC_SPECIES
Al 26.98 Al.upf
Br 79.90 Br.upf
Li 6.94 Li.upf
CELL_PARAMETERS angstrom
-3.6251 2.5304 -1.4708
-4.3857 -0.9906 -1.2212
-4.1481 1.2669 5.2317
ATOMIC_POSITIONS angstrom
Al -11.3854 2.5965 1.9314
Al -9.1998 2.2135 3.1900
Br -6.2405 1.3883 0.5660
Li -3.5714 0.8185 0.6621
```

---

Run iii
Computed, not measured: a relaxed LiAl2Br crystal at the PBE level of DFT. Values from VASP.

Values from the calculation:
Space-group type = Fm-3m

Quantum ESPRESSO input file:
```
&SYSTEM
  ibrav = 0, nat = 4, ntyp = 3
/
ATOMIC_SPECIES
Al 26.98 Al.upf
Br 79.90 Br.upf
Li 6.94 Li.upf
CELL_PARAMETERS angstrom
-3.0290 -1.3262 3.9389
-1.3794 3.5235 3.4830
-4.8606 1.6704 0.1820
ATOMIC_POSITIONS angstrom
Al -2.3173 0.9669 1.9010
Al -6.9518 2.9008 5.7030
Br -4.6345 1.9338 3.8020
Li 0.0000 0.0000 0.0000
```

---

Run iv
Computed, not measured: a relaxed LiAl2Br crystal at the PBE level of DFT. Values from VASP.

Values from the calculation:
Space-group type = P4/mmm

Quantum ESPRESSO input file:
```
&SYSTEM
  ibrav = 0, nat = 4, ntyp = 3
/
ATOMIC_SPECIES
Al 26.98 Al.upf
Br 79.90 Br.upf
Li 6.94 Li.upf
CELL_PARAMETERS angstrom
-1.3087 2.0308 2.4996
0.5224 -2.5286 2.3278
6.3052 2.4839 1.2832
ATOMIC_POSITIONS angstrom
Al 5.9817 2.3564 1.2173
Al 3.4761 1.3694 0.7074
Br 1.1831 0.3721 2.7345
Li 4.3358 1.6140 3.3761
```

---

The most stable of them is run i.